Record 1
First-principles (SCAN) data for MgSc2Al at its PBEsol-relaxed geometry, as listed in Alexandria.

Computed properties:
- formation energy (eV per atom) = -0.248
- distance to the lowest polymorph of the same formula (kcal/mol of atoms) = 1.196
- crystal system = orthorhombic

Unit cell a=3.1452 b=4.1429 c=6.3487 alpha=90.00 beta=90.00 gamma=90.00
With the nearest neighbours (Å) after each atom.
Positions (direct):
Mg (0.0000, 0.0000, 0.0000)  8 Sc 3.10, 2 Mg 3.15, 2 Al 3.17
Sc (0.5000, 0.5000, 0.2646)  3 Sc 2.99-3.15, 4 Al 3.00, 4 Mg 3.10
Sc (0.5000, 0.5000, 0.7354)  3 Sc 2.99-3.15, 4 Al 3.00, 4 Mg 3.10
Al (0.0000, 0.0000, 0.5000)  8 Sc 3.00, 2 Al 3.15, 2 Mg 3.17

Record 2
First-principles (SCAN) data for Fe3SeBr at its PBEsol-relaxed geometry, as listed in Alexandria.

Computed properties:
- crystal system = cubic
- formation energy without anion corrections (eV/atom) = 1.060

Unit cell a=4.4322 b=4.4322 c=4.4322 alpha=90.00 beta=90.00 gamma=90.00
With the nearest neighbours (Å) after each atom.
Positions (direct):
Fe (0.0000, 0.0000, 0.5000)  2 Br 2.22
Fe (0.0000, 0.5000, 0.0000)  2 Br 2.22
Fe (0.5000, 0.0000, 0.0000)  2 Br 2.22
Se (0.5000, 0.5000, 0.5000)  12 Fe 3.13
Br (0.0000, 0.0000, 0.0000)  6 Fe 2.22

Record 3
First-principles (SCAN) data for TiAg2Os at its PBEsol-relaxed geometry, as listed in Alexandria.

Computed properties:
- formation energy (eV per atom) = 0.551
- crystal system = cubic

Unit cell a=4.4524 b=4.4524 c=4.4524 alpha=60.00 beta=60.00 gamma=60.00
With the nearest neighbours (Å) after each atom.
Positions (direct):
Ti (0.0000, 0.0000, 0.0000)  8 Ag 2.73
Ag (0.2500, 0.2500, 0.2500)  4 Os 2.73, 4 Ti 2.73
Ag (0.7500, 0.7500, 0.7500)  4 Os 2.73, 4 Ti 2.73
Os (0.5000, 0.5000, 0.5000)  8 Ag 2.73

Record 4
First-principles (SCAN) data for GaSiH3 at its PBEsol-relaxed geometry, as listed in Alexandria.

Computed properties:
- distance to the lowest polymorph of the same formula (kcal/mol of atoms) = 6.412
- crystal system = cubic

Unit cell a=3.6126 b=3.6126 c=3.6126 alpha=90.00 beta=90.00 gamma=90.00
With the nearest neighbours (Å) after each atom.
Positions (direct):
Ga (0.0000, 0.0000, 0.0000)  6 H 1.81
Si (0.5000, 0.5000, 0.5000)  12 H 2.55
H (0.0000, 0.0000, 0.5000)  2 Ga 1.81
H (0.0000, 0.5000, 0.0000)  2 Ga 1.81
H (0.5000, 0.0000, 0.0000)  2 Ga 1.81

Record 5
First-principles (SCAN) data for Ba2CaSeO6 at its PBEsol-relaxed geometry, as listed in Alexandria.

Computed properties:
- crystal system = cubic
- formation energy without anion corrections (eV/atom) = -2.397

Unit cell a=5.7912 b=5.7912 c=5.7912 alpha=60.00 beta=60.00 gamma=60.00
With the nearest neighbours (Å) after each atom.
Positions (direct):
Ba (0.2500, 0.2500, 0.2500)  12 O 2.90
Ba (0.7500, 0.7500, 0.7500)  12 O 2.90
Ca (0.0000, 0.0000, 0.0000)  6 O 2.27
Se (0.5000, 0.5000, 0.5000)  6 O 1.83
O (0.2771, 0.2771, 0.7229)  1 Se 1.83
O (0.2771, 0.7229, 0.2771)  1 Se 1.83
O (0.2771, 0.7229, 0.7229)  1 Se 1.83
O (0.7229, 0.2771, 0.2771)  1 Se 1.83
O (0.7229, 0.2771, 0.7229)  1 Se 1.83
O (0.7229, 0.7229, 0.2771)  1 Se 1.83

Record 6
First-principles (SCAN) data for AsWCl at its PBEsol-relaxed geometry, as listed in Alexandria.

Computed properties:
- distance to the lowest polymorph of the same formula (kcal/mol of atoms) = 0.000
- crystal system = tetragonal
- formation energy without anion corrections (eV/atom) = 0.163

Unit cell a=6.4685 b=6.4685 c=6.4685 alpha=152.98 beta=152.98 gamma=38.58
With the nearest neighbours (Å) after each atom.
Positions (direct):
As (0.0000, 0.0000, 0.0000)  4 W 2.62
W (0.3761, 0.3761, 0.0000)  4 As 2.62, 4 Cl 2.65
Cl (0.7477, 0.7477, 0.0000)  4 W 2.65

Record 7
First-principles (SCAN) data for LaRu2AuBr at its PBEsol-relaxed geometry, as listed in Alexandria.

Computed properties:
- crystal system = tetragonal
- formation energy without anion corrections (eV/atom) = 1.397

Unit cell a=4.8580 b=4.8580 c=5.4957 alpha=90.00 beta=90.00 gamma=90.00
With the nearest neighbours (Å) after each atom.
Positions (direct):
La (0.0000, 0.0000, 0.0000)  4 Ru 2.43
Ru (0.0000, 0.5000, 0.0000)  2 La 2.43
Ru (0.5000, 0.0000, 0.0000)  2 La 2.43
Au (0.0000, 0.0000, 0.5000)  2 La 2.75
Br (0.5000, 0.5000, 0.5000)  4 Au 3.44, 8 Ru 3.67

Record 8
First-principles (SCAN) data for BeReRh at its PBEsol-relaxed geometry, as listed in Alexandria.

Computed properties:
- formation energy (eV per atom) = 0.467
- crystal system = cubic

Unit cell a=3.8023 b=3.8023 c=3.8023 alpha=60.00 beta=60.00 gamma=60.00
With the nearest neighbours (Å) after each atom.
Positions (direct):
Be (0.0000, 0.0000, 0.0000)  4 Re 2.33, 4 Rh 2.33
Re (0.7500, 0.7500, 0.7500)  4 Be 2.33
Rh (0.2500, 0.2500, 0.2500)  4 Be 2.33

Record 9
First-principles (SCAN) data for Zn7SnN6 at its PBEsol-relaxed geometry, as listed in Alexandria.

Computed properties:
- crystal system = orthorhombic
- formation energy without anion corrections (eV/atom) = 0.089

Unit cell a=10.6689 b=5.9051 c=12.2728 alpha=90.00 beta=90.00 gamma=90.00
With the nearest neighbours (Å) after each atom.
Positions (direct):
Zn (0.0000, 0.0877, 0.2500)  4 N 2.08-2.11
Zn (0.0000, 0.9123, 0.7500)  4 N 2.08-2.11
Zn (0.0303, 0.2587, 0.0394)  2 N 1.83-1.84
Zn (0.0303, 0.7413, 0.5394)  2 N 1.83-1.84
Zn (0.2087, 0.1424, 0.5693)  3 N 1.95-1.98
Zn (0.2087, 0.8576, 0.0693)  3 N 1.95-1.98
Zn (0.2407, 0.1527, 0.8425)  3 N 1.94-1.97
Zn (0.2407, 0.8473, 0.3425)  3 N 1.94-1.97
Zn (0.2593, 0.3473, 0.3425)  3 N 1.94-1.97
Zn (0.2593, 0.6527, 0.8425)  3 N 1.94-1.97
Zn (0.2913, 0.3576, 0.0693)  3 N 1.95-1.98
Zn (0.2913, 0.6424, 0.5693)  3 N 1.95-1.98
Zn (0.4697, 0.2413, 0.5394)  2 N 1.83-1.84
Zn (0.4697, 0.7587, 0.0394)  2 N 1.83-1.84
Zn (0.5000, 0.4123, 0.7500)  4 N 2.08-2.11
Zn (0.5000, 0.5877, 0.2500)  4 N 2.08-2.11
Zn (0.5303, 0.2413, 0.9606)  2 N 1.83-1.84
Zn (0.5303, 0.7587, 0.4606)  2 N 1.83-1.84
Zn (0.7087, 0.3576, 0.4307)  3 N 1.95-1.98
Zn (0.7087, 0.6424, 0.9307)  3 N 1.95-1.98
Zn (0.7407, 0.3473, 0.1575)  3 N 1.94-1.97
Zn (0.7407, 0.6527, 0.6575)  3 N 1.94-1.97
Zn (0.7593, 0.1527, 0.6575)  3 N 1.94-1.97
Zn (0.7593, 0.8473, 0.1575)  3 N 1.94-1.97
Zn (0.7913, 0.1424, 0.9307)  3 N 1.95-1.98
Zn (0.7913, 0.8576, 0.4307)  3 N 1.95-1.98
Zn (0.9697, 0.2587, 0.4606)  2 N 1.83-1.84
Zn (0.9697, 0.7413, 0.9606)  2 N 1.83-1.84
Sn (0.0000, 0.4027, 0.7500)  4 N 2.07-2.08
Sn (0.0000, 0.5973, 0.2500)  4 N 2.07-2.08
Sn (0.5000, 0.0973, 0.2500)  4 N 2.07-2.08
Sn (0.5000, 0.9027, 0.7500)  4 N 2.07-2.08
N (0.0752, 0.3453, 0.3491)  2 Zn 1.84-1.97
N (0.0752, 0.6547, 0.8491)  2 Zn 1.84-1.97
N (0.1328, 0.1579, 0.7133)  3 Zn 1.95-2.08, 1 Sn 2.07
N (0.1328, 0.8421, 0.2133)  3 Zn 1.95-2.08, 1 Sn 2.07
N (0.1795, 0.1442, 0.9911)  4 Zn 1.83-1.98
N (0.1795, 0.8558, 0.4911)  4 Zn 1.83-1.98
N (0.3205, 0.3558, 0.4911)  4 Zn 1.83-1.98
N (0.3205, 0.6442, 0.9911)  4 Zn 1.83-1.98
N (0.3672, 0.3421, 0.2133)  3 Zn 1.95-2.08, 1 Sn 2.07
N (0.3672, 0.6579, 0.7133)  3 Zn 1.95-2.08, 1 Sn 2.07
N (0.4248, 0.1547, 0.8491)  2 Zn 1.84-1.97
N (0.4248, 0.8453, 0.3491)  2 Zn 1.84-1.97
N (0.5752, 0.1547, 0.6509)  2 Zn 1.84-1.97
N (0.5752, 0.8453, 0.1509)  2 Zn 1.84-1.97
N (0.6328, 0.3421, 0.2867)  3 Zn 1.95-2.08, 1 Sn 2.07
N (0.6328, 0.6579, 0.7867)  3 Zn 1.95-2.08, 1 Sn 2.07
N (0.6795, 0.3558, 0.0089)  4 Zn 1.83-1.98
N (0.6795, 0.6442, 0.5089)  4 Zn 1.83-1.98
N (0.8205, 0.1442, 0.5089)  4 Zn 1.83-1.98
N (0.8205, 0.8558, 0.0089)  4 Zn 1.83-1.98
N (0.8672, 0.1579, 0.7867)  3 Zn 1.95-2.08, 1 Sn 2.07
N (0.8672, 0.8421, 0.2867)  3 Zn 1.95-2.08, 1 Sn 2.07
N (0.9248, 0.3453, 0.1509)  2 Zn 1.84-1.97
N (0.9248, 0.6547, 0.6509)  2 Zn 1.84-1.97

Record 10
First-principles (SCAN) data for CdGa2Pt2 at its PBEsol-relaxed geometry, as listed in Alexandria.

Computed properties:
- formation energy (eV per atom) = -0.583
- distance to the lowest polymorph of the same formula (kcal/mol of atoms) = 0.000
- crystal system = tetragonal

Unit cell a=6.6260 b=6.6260 c=6.6260 alpha=147.28 beta=147.28 gamma=46.95
With the nearest neighbours (Å) after each atom.
Positions (direct):
Cd (0.0000, 0.0000, 0.0000)  8 Pt 2.96
Ga (0.2500, 0.7500, 0.5000)  4 Pt 2.53, 4 Ga 2.64
Ga (0.7500, 0.2500, 0.5000)  4 Pt 2.53, 4 Ga 2.64
Pt (0.3900, 0.3900, 0.0000)  4 Ga 2.53, 1 Pt 2.67
Pt (0.6100, 0.6100, 0.0000)  4 Ga 2.53, 1 Pt 2.67

Per-record calculated density, Mg/m³: 2.83, 6.22, 12.07, 3.55, 5.92, 8.76, 7.91, 12.74, 5.67, 12.59